No. 1
Material: RbBF4
Method: DFT, meta-GGA SCAN
State: single point on PBEsol structure

Formation energy from raw total energies in eV/f.u.: -19.16
Mass density in Mg/m³: 3.16
Calculated total energy in eV/atom: -10.248
N(E_F) in states/eV per cell: 0.00

a = 9.0641 Å, b = 5.5037 Å, c = 7.2498 Å
α = 90.00°, β = 90.00°, γ = 90.00°
With the nearest neighbours (Å) after each atom.
Space group Pnma (No. 62)
Unique sites:
Rb 0.1874 0.2500 0.1580 [4 per cell]  10 F 2.88-3.16
B 0.0566 0.2500 0.6958 [4 per cell]  4 F 1.40-1.42
F 0.0767 0.0406 0.8070 [8 per cell]  1 B 1.42
F 0.0872 0.7500 0.3764 [4 per cell]  1 B 1.40
F 0.1627 0.2500 0.5538 [4 per cell]  1 B 1.41

No. 2
Material: PW
Method: DFT, meta-GGA SCAN
State: single point on PBEsol structure

Mass density in Mg/m³: 12.51
Calculated total energy in eV/atom: -40.361
N(E_F) in states/eV per cell: 2.61
Energy of formation from the pure elements in eV/atom: -0.317

a = 5.6846 Å, b = 3.2249 Å, c = 6.2234 Å
α = 90.00°, β = 90.00°, γ = 90.00°
With the nearest neighbours (Å) after each atom.
Space group Pnma (No. 62)
Unique sites:
P 0.1811 0.2500 0.0648 [4 per cell]  6 W 2.46-2.53, 2 P 2.74
W 0.0130 0.2500 0.6882 [4 per cell]  6 P 2.46-2.53

No. 3
Material: Tl2CdP
Method: DFT, meta-GGA SCAN
State: single point on PBEsol structure

Excess energy over the best structure of this formula in the dataset in eV per atom: 0.153
Mass density in Mg/m³: 9.67
Calculated total energy in eV/atom: -46.064
N(E_F) in states/eV per cell: 7.12
Energy of formation from the pure elements in eV/atom: 0.318

a = 7.2373 Å, b = 7.2373 Å, c = 7.2373 Å
α = 90.00°, β = 90.00°, γ = 90.00°
With the nearest neighbours (Å) after each atom.
Space group F-43m (No. 216)
Unique sites:
Tl 0.0000 0.0000 0.0000 [4 per cell]  4 Tl 3.13, 4 Cd 3.13
Tl 0.2500 0.2500 0.2500 [4 per cell]  4 Tl 3.13, 4 P 3.13
Cd 0.2500 0.2500 0.7500 [4 per cell]  4 Tl 3.13, 4 P 3.13
P 0.0000 0.0000 0.5000 [4 per cell]  4 Cd 3.13, 4 Tl 3.13

No. 4
Material: La2Ni
Method: DFT, meta-GGA SCAN
State: single point on PBEsol structure

Mass density in Mg/m³: 7.07
Calculated total energy in eV/atom: -34.306
N(E_F) in states/eV per cell: 11.53
Energy of formation from the pure elements in eV/atom: -0.179

a = 12.9335 Å, b = 5.6260 Å, c = 4.3476 Å
α = 90.00°, β = 90.00°, γ = 90.00°
With the nearest neighbours (Å) after each atom.
Space group Cmcm (No. 63)
Unique sites:
La 0.1293 0.2293 0.2500 [8 per cell]  3 Ni 2.83-2.90
Ni 0.0000 0.3501 0.7500 [4 per cell]  2 Ni 2.75, 6 La 2.83-2.90

- calculated total energy of number 1 (RbBF4)?
  -10.248 eV/atom

- Among the records above, which one has the highest N(E_F)?
  La2Ni

Copy entry 3 word for word.
Material: Tl2CdP
Method: DFT, meta-GGA SCAN
State: single point on PBEsol structure

Excess energy over the best structure of this formula in the dataset in eV per atom: 0.153
Mass density in Mg/m³: 9.67
Calculated total energy in eV/atom: -46.064
N(E_F) in states/eV per cell: 7.12
Energy of formation from the pure elements in eV/atom: 0.318

a = 7.2373 Å, b = 7.2373 Å, c = 7.2373 Å
α = 90.00°, β = 90.00°, γ = 90.00°
With the nearest neighbours (Å) after each atom.
Space group F-43m (No. 216)
Unique sites:
Tl 0.0000 0.0000 0.0000 [4 per cell]  4 Tl 3.13, 4 Cd 3.13
Tl 0.2500 0.2500 0.2500 [4 per cell]  4 Tl 3.13, 4 P 3.13
Cd 0.2500 0.2500 0.7500 [4 per cell]  4 Tl 3.13, 4 P 3.13
P 0.0000 0.0000 0.5000 [4 per cell]  4 Cd 3.13, 4 Tl 3.13